## K5FeO4 (PBE with a Hubbard U)

Data for a relaxed structure of K5FeO4.

The structure belongs to space group Pbca (No. 61); the cell edges are 6.7835, 20.5679 and 11.5270 Å and the angles 90.00°, 90.00° and 90.00°. The asymmetric unit holds K at (0.0745, 0.1347, 0.2030), K at (0.0760, 0.0009, 0.6476), K at (0.0840, 0.0658, 0.9364), K at (0.1054, 0.6746, 0.8281), K at (0.1100, 0.7480, 0.0840), Fe at (0.1783, 0.1245, 0.4644), O at (0.1051, 0.6175, 0.0441), O at (0.2043, 0.5515, 0.3850), O at (0.2400, 0.7036, 0.3847) and O at (0.2453, 0.6280, 0.6267).

The value obtained for the excess energy over the best structure of this formula in the dataset is 0.0 meV per atom. The density of states at the Fermi level comes out at 0.0000 states/eV/atom.